DFT (PBE) results for a geometry-optimized BeSeNF2 structure.

## Properties
raw formation energy = -23.22 kcal/mol of atoms
N(E_F) = 2.0 states/eV per cell
excess energy over the best structure of this formula in the dataset = 0.000 eV per formula unit
space-group type = P4/mmm, No. 123

```
BeSeNF2
1.0
3.144 0.000 0.000
0.000 3.144 0.000
0.000 0.000 6.722
Be Se N F
1 1 1 2
Direct
0.000 0.000 0.000
0.500 0.500 0.500
0.000 0.000 0.500
0.000 0.500 0.000
0.500 0.000 0.000
```

---

DFT (PBE) results for a geometry-optimized BeSiN2F structure.

## Properties
raw formation energy = 7.31 kcal/mol of atoms
N(E_F) = 1.9 states/eV per cell
excess energy over the best structure of this formula in the dataset = 2.164 eV per formula unit
space-group type = P4/mmm, No. 123

```
BeSiN2F
1.0
3.641 0.000 0.000
0.000 3.641 0.000
0.000 0.000 3.205
Be Si N F
1 1 2 1
Direct
0.000 0.000 0.000
0.500 0.500 0.500
0.000 0.500 0.000
0.500 0.000 0.000
0.000 0.000 0.500
```

---

DFT (PBE) results for a geometry-optimized BeSiN2F structure.

## Properties
raw formation energy = -2.67 kcal/mol of atoms
N(E_F) = 1.4 states/eV per cell
excess energy over the best structure of this formula in the dataset = 0.000 eV per formula unit
space-group type = P4/mmm, No. 123

```
BeSiN2F
1.0
3.572 0.000 0.000
0.000 3.572 0.000
0.000 0.000 3.521
Be Si N F
1 1 2 1
Direct
0.000 0.000 0.000
0.500 0.500 0.500
0.000 0.500 0.500
0.500 0.000 0.500
0.500 0.500 0.000
```

---

DFT (PBE) results for a geometry-optimized BeSiNF2 structure.

## Properties
raw formation energy = -14.81 kcal/mol of atoms
N(E_F) = 0.6 states/eV per cell
excess energy over the best structure of this formula in the dataset = 2.707 eV per formula unit
space-group type = P4/mmm, No. 123

```
BeSiNF2
1.0
3.952 0.000 0.000
0.000 3.952 0.000
0.000 0.000 3.322
Be Si N F
1 1 1 2
Direct
0.000 0.000 0.000
0.500 0.500 0.500
0.500 0.500 0.000
0.000 0.500 0.500
0.500 0.000 0.500
```

---

DFT (PBE) results for a geometry-optimized BeSiNF2 structure.

## Properties
raw formation energy = -27.30 kcal/mol of atoms
N(E_F) = 0.7 states/eV per cell
excess energy over the best structure of this formula in the dataset = 0.000 eV per formula unit
space-group type = P4/mmm, No. 123

```
BeSiNF2
1.0
3.075 0.000 0.000
0.000 3.075 0.000
0.000 0.000 5.881
Be Si N F
1 1 1 2
Direct
0.000 0.000 0.000
0.500 0.500 0.500
0.000 0.000 0.500
0.000 0.500 0.000
0.500 0.000 0.000
```

---

DFT (PBE) results for a geometry-optimized BeSnNF2 structure.

## Properties
raw formation energy = -30.76 kcal/mol of atoms
N(E_F) = 0.8 states/eV per cell
excess energy over the best structure of this formula in the dataset = 0.000 eV per formula unit
space-group type = P4/mmm, No. 123

```
BeSnNF2
1.0
3.328 0.000 0.000
0.000 3.328 0.000
0.000 0.000 5.050
Be Sn N F
1 1 1 2
Direct
0.000 0.000 0.000
0.500 0.500 0.500
0.000 0.000 0.500
0.000 0.500 0.000
0.500 0.000 0.000
```

---

DFT (PBE) results for a geometry-optimized BeSnN2F structure.

## Properties
raw formation energy = 18.18 kcal/mol of atoms
N(E_F) = 1.0 states/eV per cell
excess energy over the best structure of this formula in the dataset = 4.020 eV per formula unit
space-group type = P4/mmm, No. 123

```
BeSnN2F
1.0
4.105 0.000 0.000
0.000 4.105 0.000
0.000 0.000 4.063
Be Sn N F
1 1 2 1
Direct
0.000 0.000 0.000
0.500 0.500 0.500
0.000 0.500 0.500
0.500 0.000 0.500
0.500 0.500 0.000
```

---

DFT (PBE) results for a geometry-optimized BeSnNF2 structure.

## Properties
raw formation energy = -5.28 kcal/mol of atoms
N(E_F) = 1.3 states/eV per cell
excess energy over the best structure of this formula in the dataset = 5.523 eV per formula unit
space-group type = P4/mmm, No. 123

```
BeSnNF2
1.0
4.254 0.000 0.000
0.000 4.254 0.000
0.000 0.000 3.996
Be Sn N F
1 1 1 2
Direct
0.000 0.000 0.000
0.500 0.500 0.500
0.500 0.500 0.000
0.000 0.500 0.500
0.500 0.000 0.500
```